(1)
Density functional theory data (GGA-PBE) for LaYCd2In2 after structural relaxation.

Geometry as POSCAR:
```
LaYCd2In2
1.0
4.9415 0.0000 0.0000
-2.4708 4.2795 0.0000
0.0000 0.0000 7.5917
La Y Cd In
1 1 2 2
Direct
0.0000 0.0000 0.0000
0.0000 0.0000 0.5000
0.3333 0.6667 0.2836
0.6667 0.3333 0.7164
0.3333 0.6667 0.7416
0.6667 0.3333 0.2584
```

Calculated values
Energy ... -3.565 eV per atom
Crystal system ... trigonal

=====

(2)
Density functional theory data (GGA-PBE) for La2Zn4CdIn3 after structural relaxation.

Geometry as POSCAR:
```
La2Zn4CdIn3
1.0
-0.2748 3.8470 -2.3877
-3.4223 -1.7427 -2.4139
-7.3761 4.1183 7.4843
La Zn Cd In
2 4 1 3
Direct
0.5000 0.0000 0.2436
0.0000 0.5000 0.7564
0.5000 0.5000 0.0000
0.0000 0.0000 0.0000
0.5000 0.0000 0.6375
0.0000 0.5000 0.3625
0.5000 0.5000 0.5000
0.0000 0.0000 0.5000
0.5000 0.0000 0.8676
0.0000 0.5000 0.1324
```

Calculated values
Energy ... -2.764 eV per atom
Crystal system ... tetragonal

=====

(3)
Density functional theory data (GGA-PBE) for La2Zn4Cd3In after structural relaxation.

Geometry as POSCAR:
```
La2Zn4Cd3In
1.0
-2.5184 3.7710 -0.5002
-3.4709 -2.5234 -1.5486
-3.7850 -1.1531 10.3624
La Zn Cd In
2 4 3 1
Direct
0.5000 0.0000 0.2408
0.0000 0.5000 0.7592
0.5000 0.5000 0.0000
0.0000 0.0000 0.0000
0.5000 0.0000 0.6403
0.0000 0.5000 0.3597
0.0000 0.0000 0.5000
0.5000 0.0000 0.8728
0.0000 0.5000 0.1272
0.5000 0.5000 0.5000
```

Calculated values
Energy ... -2.325 eV per atom
Crystal system ... tetragonal

=====

(4)
Density functional theory data (GGA-PBE) for La2Zn3CdIn4 after structural relaxation.

Geometry as POSCAR:
```
La2Zn3CdIn4
1.0
-4.5549 0.4510 -0.1241
0.0626 -0.6157 -4.5368
-1.1637 -11.3344 1.5222
La Zn Cd In
2 3 1 4
Direct
0.5000 0.0000 0.2465
0.0000 0.5000 0.7535
0.0000 0.0000 0.5000
0.5000 0.0000 0.8646
0.0000 0.5000 0.1354
0.5000 0.5000 0.5000
0.5000 0.5000 0.0000
0.0000 0.0000 0.0000
0.5000 0.0000 0.6408
0.0000 0.5000 0.3592
```

Calculated values
Energy ... -2.915 eV per atom
Crystal system ... tetragonal

=====

(5)
Density functional theory data (GGA-PBE) for LaZrCdIn after structural relaxation.

Geometry as POSCAR:
```
LaZrCdIn
1.0
-3.7726 -3.7018 -0.2817
0.6799 -4.2416 -3.0922
0.7953 -4.7598 2.1741
Cd In Zr La
1 1 1 1
Direct
0.7500 0.7500 0.7500
0.2500 0.2500 0.2500
0.0000 0.0000 0.0000
0.5000 0.5000 0.5000
```

Calculated values
Energy ... -4.481 eV per atom
Crystal system ... cubic

=====

(6)
Density functional theory data (GGA-PBE) for Li3CdIn4 after structural relaxation.

Geometry as POSCAR:
```
Li3CdIn4
1.0
-0.6599 1.4242 2.8832
-4.0966 -2.5438 0.3189
4.8242 -9.3301 3.8441
Li Cd In
3 1 4
Direct
0.0000 0.5000 0.0000
0.1127 0.9912 0.2255
0.8873 0.0088 0.7745
0.5000 0.0000 0.0000
0.3944 0.5116 0.7887
0.6056 0.4884 0.2113
0.7233 0.7648 0.4466
0.2767 0.2352 0.5534
```

Calculated values
Energy ... -2.362 eV per atom
Crystal system ... monoclinic

=====

| no. | size of the total moment (μB per cell) | calculated formation energy (meV/atom) |
| --- | --- | --- |
| 1 | 0.00 | -449 |
| 2 | 0.00 | -356 |
| 3 | 0.00 | -282 |
| 4 | 0.00 | -360 |
| 5 | 0.00 | -199 |
| 6 | 0.00 | -160 |